[1]
A relaxed structure of NiMoCl2. Source: Alexandria via LeMat-Bulk, functional GGA-PBE.

Cell and atoms, written as POSCAR:
```
NiMoCl2
1.0
-2.832 1.384 -0.175
0.025 -0.342 -3.110
-3.443 -7.158 -0.896
Mo Cl Ni
1 2 1
direct
0.000 0.283 0.562
0.500 0.405 0.330
0.000 0.115 0.883
0.500 0.697 0.726
```

***

[2]
A relaxed structure of NiMoCl2. Source: Alexandria via LeMat-Bulk, functional GGA-PBE.

Cell and atoms, written as POSCAR:
```
NiMoCl2
1.0
4.516 -0.027 0.000
0.837 4.438 0.000
-2.676 -2.205 2.892
Mo Cl Ni
1 2 1
direct
0.250 0.750 0.500
0.000 0.000 0.000
0.500 0.500 0.000
0.750 0.250 0.500
```

***

[3]
A relaxed structure of Ni3MoCl. Source: Alexandria via LeMat-Bulk, functional GGA-PBE.

Cell and atoms, written as POSCAR:
```
Ni3MoCl
1.0
-2.708 0.910 -3.006
2.036 -2.514 -2.595
-2.391 -3.170 1.195
Ni Cl Mo
3 1 1
direct
0.500 0.000 0.000
0.000 0.000 0.500
0.000 0.500 0.000
0.000 0.000 0.000
0.500 0.500 0.500
```

***

[4]
A relaxed structure of NiMoCl2. Source: Alexandria via LeMat-Bulk, functional GGA-PBE.

Cell and atoms, written as POSCAR:
```
NiMoCl2
1.0
-1.420 2.081 4.677
0.407 -4.792 2.256
4.525 -0.408 4.572
Ni Mo Cl
2 2 4
direct
0.250 0.750 0.500
0.500 0.500 0.000
0.000 0.000 0.000
0.750 0.250 0.500
0.375 0.396 0.750
0.146 0.625 0.250
0.875 0.854 0.750
0.604 0.125 0.250
```

***

[5]
A relaxed structure of NiMoCl2. Source: Alexandria via LeMat-Bulk, functional GGA-PBE.

Cell and atoms, written as POSCAR:
```
NiMoCl2
1.0
4.022 0.000 0.000
0.000 2.907 -0.326
0.000 -1.412 5.750
Cl Ni Mo
2 1 1
direct
0.000 0.140 0.997
0.000 0.360 0.503
0.500 0.750 0.750
0.500 0.250 0.250
```

***

[6]
A relaxed structure of NiMoCl2. Source: Alexandria via LeMat-Bulk, functional GGA-PBE.

Cell and atoms, written as POSCAR:
```
NiMoCl2
1.0
8.688 0.072 0.043
8.071 3.217 0.043
8.071 1.584 2.800
Cl Ni Mo
2 1 1
direct
0.223 0.223 0.223
0.032 0.032 0.032
0.756 0.756 0.756
0.489 0.489 0.489
```

***

[7]
A relaxed structure of Ni3MoCl. Source: Alexandria via LeMat-Bulk, functional GGA-PBE.

Cell and atoms, written as POSCAR:
```
Ni3MoCl
1.0
4.568 0.000 0.000
0.000 4.568 0.000
0.000 0.000 4.568
Cl Ni Mo
1 3 1
direct
0.500 0.500 0.500
0.500 0.000 0.000
0.000 0.500 0.000
0.000 0.000 0.500
0.000 0.000 0.000
```

***

[8]
A relaxed structure of NiMoCl2. Source: Alexandria via LeMat-Bulk, functional GGA-PBE.

Cell and atoms, written as POSCAR:
```
NiMoCl2
1.0
5.635 0.651 -0.074
-0.325 5.664 -0.074
1.341 1.595 2.021
Cl Ni Mo
2 1 1
direct
0.500 0.500 0.000
0.000 0.000 0.000
0.000 0.500 0.500
0.500 0.000 0.500
```

***

[9]
A relaxed structure of NiMoCl2. Source: Alexandria via LeMat-Bulk, functional GGA-PBE.

Cell and atoms, written as POSCAR:
```
NiMoCl2
1.0
3.019 0.010 0.000
-0.009 3.019 0.000
0.000 0.000 7.920
Mo Cl Ni
1 2 1
direct
0.000 0.000 0.543
0.500 0.500 0.338
0.000 0.000 0.892
0.500 0.500 0.726
```

***

Formation energy from raw total energies
In order: -0.236, 0.624, 0.949, 0.514, 0.415, -0.109, 1.433, 0.440, -0.081
Unit: eV per atom